Record 1
{
  "formula": "CaSm2YSb4",
  "functional": "PBE-GGA",
  "state": "optimized geometry",
  "cell": [[-0.9471, -1.2610, 4.1530], [4.7944, -6.0155, -0.7332], [7.1262, 2.1145, 2.2672]],
  "species": ["Sm", "Sm", "Sb", "Sb", "Sb", "Sb", "Y", "Ca"],
  "frac_coords": [[0.0000, 0.0000, 0.0000], [0.5000, 0.0000, 0.5000], [0.0000, 0.2491, 0.2546], [0.5000, 0.7474, 0.2543], [0.0000, 0.7509, 0.7454], [0.5000, 0.2526, 0.7457], [0.0000, 0.5000, 0.5000], [0.5000, 0.5000, 0.0000]],
  "space_group": "No. 10",
  "energy_ev_per_cell": -42.9,
  "e_form_raw_ev_per_atom": -1.0599
}

***

Record 2
{
  "formula": "CaCdPd6",
  "functional": "PBE-GGA",
  "state": "optimized geometry",
  "cell": [[-3.8284, 0.1835, 2.6681], [-2.9537, 2.3629, -4.4007], [0.1594, -5.7669, 0.6253]],
  "species": ["Pd", "Pd", "Pd", "Pd", "Pd", "Pd", "Cd", "Ca"],
  "frac_coords": [[0.0000, 0.0804, 0.4155], [0.0000, 0.5848, 0.4152], [0.5000, 0.9104, 0.0896], [0.0000, 0.5845, 0.9196], [0.5000, 0.4292, 0.0895], [0.5000, 0.9105, 0.5708], [0.5000, 0.4168, 0.5832], [0.0000, 0.0831, 0.9169]],
  "space_group": "No. 187",
  "formation_energy_kj_per_mol_atoms": -34,
  "energy_ev_per_cell": -36.9,
  "polymorph_energy_mev_per_atom": 0
}

***

Record 3
{
  "formula": "PuCoGe",
  "functional": "PBE-GGA",
  "state": "optimized geometry",
  "cell": [[3.6483, 0.0000, 0.0000], [0.0000, 4.1804, 0.0000], [0.0000, -2.0902, 3.6203]],
  "species": ["Co", "Ge", "Pu"],
  "frac_coords": [[0.1667, 0.0000, 0.0000], [0.1666, 0.3333, 0.6667], [0.6667, 0.6667, 0.3333]],
  "space_group": "No. 187",
  "formation_energy_kj_per_mol_atoms": -32,
  "energy_ev_per_cell": -27.0
}

***

Looking at calculated density for the records above, in order, we have 6.0; 9.6; 11.3 g cm⁻³.